NbCdCuNi: relaxed, GGA-PBE. Values from VASP.

Properties
Distance to the lowest polymorph of the same formula = 190 meV/atom
Energy relative to the elements = 21.1 kJ per mole of atoms
Space-group type = F-43m
Total magnetic moment = 0.00 μB/atom

Quantum ESPRESSO input file:
```
&SYSTEM
  ibrav = 0, nat = 4, ntyp = 4
/
ATOMIC_SPECIES
Nb 92.91 Nb.upf
Cd 112.41 Cd.upf
Cu 63.55 Cu.upf
Ni 58.69 Ni.upf
CELL_PARAMETERS angstrom
0.000 3.121 3.121
3.121 0.000 3.121
3.121 3.121 0.000
ATOMIC_POSITIONS crystal
Nb 0.000 0.000 0.000
Cd 0.250 0.250 0.250
Cu 0.500 0.500 0.500
Ni 0.750 0.750 0.750
```